TaAl2Ag PBE optimized geometry; E = -5.524 eV per atom; density of states at the Fermi level = 1.787 states/eV/cell; size of the total moment = 0.000 μB per cell; ρ = 8.45 g/cm3; energy above the most stable polymorph in this dataset = 0.164 eV/atom
1.0
-1.166 -1.239 -2.416
2.942 -2.652 -0.060
-3.113 -3.529 3.312
Al Ta Ag
2 1 1
Cartesian
-3.092 -3.505 3.289 Al
0.092 -2.848 -0.391 Al
-1.499 -1.699 1.595 Ta
-1.508 -4.660 1.311 Ag


MoHRh2W PBE optimized geometry; E = -8.478 eV per atom; density of states at the Fermi level = 3.135 states/eV/cell; size of the total moment = 0.000 μB per cell; ρ = 13.09 g/cm3; energy above the most stable polymorph in this dataset = 0.000 eV/atom
1.0
-3.610 -1.418 -0.096
0.289 -0.988 3.741
-1.472 3.672 1.083
H Rh Mo W
1 2 1 1
Cartesian
0.000 0.000 0.000 H
0.144 -0.494 1.870 Rh
-1.805 -0.709 -0.048 Rh
-0.736 1.836 0.542 Mo
-2.397 0.633 2.364 W


Pr2Tm3ThSe6 PBE optimized geometry; E = -5.979 eV per atom; density of states at the Fermi level = 6.388 states/eV/cell; size of the total moment = 0.000 μB per cell; ρ = 8.28 g/cm3; uncorrected formation energy = -1.704 eV per atom
1.0
-4.006 -0.078 -0.510
1.035 -3.635 -7.580
1.350 -6.715 6.425
Tm Se Th Pr
3 6 1 2
Cartesian
-2.265 -5.140 2.590 Tm
-1.486 -1.856 -4.045 Tm
0.645 -5.288 -4.255 Tm
-1.600 -4.404 -2.755 Se
-0.021 -6.023 1.090 Se
-2.377 -7.649 3.851 Se
-2.157 -2.601 1.346 Se
0.756 -2.779 -5.516 Se
0.536 -7.827 -3.011 Se
-2.003 -0.039 -0.255 Th
-1.745 -7.042 -1.205 Pr
0.125 -3.386 -0.460 Pr


Ce7SI12 PBE optimized geometry; E = -4.535 eV per atom; density of states at the Fermi level = 49.957 states/eV/cell; size of the total moment = 7.905 μB per cell; ρ = 5.34 g/cm3; uncorrected formation energy = -1.322 eV per atom
1.0
9.462 -0.224 -2.894
-3.851 8.645 -2.894
-0.149 -0.224 9.893
Ce I S
7 12 1
Cartesian
2.488 0.823 -0.857 Ce
6.340 5.584 4.057 Ce
-0.879 2.613 0.047 Ce
2.731 4.099 2.052 Ce
4.651 8.002 1.476 Ce
0.810 0.196 2.628 Ce
2.973 7.375 4.962 Ce
1.832 3.953 -1.009 I
1.771 0.465 5.883 I
3.690 7.733 -1.779 I
5.613 4.984 0.998 I
3.825 1.098 2.040 I
-0.151 3.213 3.107 I
3.630 4.245 5.114 I
1.637 7.100 2.064 I
5.581 1.813 -1.879 I
-0.119 6.384 5.984 I
7.399 2.349 4.039 I
-1.938 5.849 0.065 I
0.000 0.000 0.000 S


MnTe2PdI PBE optimized geometry; E = -3.460 eV per atom; density of states at the Fermi level = 2.809 states/eV/cell; size of the total moment = 5.114 μB per cell; ρ = 5.20 g/cm3; energy above the most stable polymorph in this dataset = 0.495 eV/atom; uncorrected formation energy = 0.979 eV per atom
1.0
5.944 0.000 0.000
0.000 4.915 0.000
0.000 0.000 5.944
I Pd Mn Te
1 1 1 2
Cartesian
0.000 0.000 0.000 I
0.000 2.458 0.000 Pd
2.972 2.458 2.972 Mn
0.000 0.000 2.972 Te
2.972 0.000 0.000 Te


Be2Nb2Zn PBE optimized geometry; E = -5.916 eV per atom; density of states at the Fermi level = 11.876 states/eV/cell; size of the total moment = 0.000 μB per cell; ρ = 6.67 g/cm3; energy above the most stable polymorph in this dataset = 0.016 eV/atom
1.0
6.149 0.000 0.000
0.000 6.149 0.000
0.000 0.000 7.089
Zn Be Nb
4 8 8
Cartesian
0.000 0.000 1.901 Zn
0.000 0.000 5.188 Zn
3.074 3.074 5.445 Zn
3.074 3.074 1.644 Zn
0.738 2.336 1.772 Be
3.813 0.738 1.772 Be
2.336 5.411 5.317 Be
2.336 5.411 1.772 Be
5.411 3.813 1.772 Be
3.813 0.738 5.317 Be
0.738 2.336 5.317 Be
5.411 3.813 5.317 Be
4.231 5.154 0.000 Nb
1.918 0.995 0.000 Nb
0.995 4.231 0.000 Nb
4.069 4.992 3.544 Nb
4.992 2.080 3.544 Nb
5.154 1.918 0.000 Nb
1.156 4.069 3.544 Nb
2.080 1.156 3.544 Nb


ZrI2OF PBE optimized geometry; E = -4.909 eV per atom; density of states at the Fermi level = 6.741 states/eV/cell; size of the total moment = 0.989 μB per cell; ρ = 4.68 g/cm3; energy above the most stable polymorph in this dataset = 0.000 eV/atom; uncorrected formation energy = -1.213 eV per atom
1.0
5.810 0.000 0.000
0.000 5.810 0.000
0.000 0.000 3.996
I O F Zr
2 1 1 1
Cartesian
0.000 2.905 0.000 I
2.905 0.000 0.000 I
0.000 0.000 1.998 O
2.905 2.905 1.998 F
0.000 0.000 0.000 Zr


VMoW4 PBE optimized geometry; E = -12.034 eV per atom; density of states at the Fermi level = 2.728 states/eV/cell; size of the total moment = 0.000 μB per cell; ρ = 15.55 g/cm3; energy above the most stable polymorph in this dataset = 0.000 eV/atom
1.0
4.459 0.000 0.000
2.230 3.639 -1.300
2.230 -1.802 6.449
W V Mo
4 1 1
Cartesian
4.459 2.735 0.000 W
2.230 0.005 3.847 W
4.459 -0.898 5.149 W
6.689 1.832 1.302 W
4.459 0.918 2.575 V
0.000 0.000 0.000 Mo


BaNi2AsP PBE optimized geometry; E = -5.354 eV per atom; density of states at the Fermi level = 9.494 states/eV/cell; size of the total moment = 0.000 μB per cell; ρ = 5.68 g/cm3
1.0
-1.048 -1.192 3.719
6.499 -1.533 1.340
-0.956 7.603 2.168
Ni P As Ba
4 2 2 2
Cartesian
2.164 1.284 4.319 Ni
1.658 4.808 5.306 Ni
2.837 0.070 1.921 Ni
2.331 3.594 2.909 Ni
3.749 1.870 2.755 P
0.745 3.009 4.472 P
3.214 5.698 3.832 As
1.280 -0.820 3.395 As
5.039 -0.499 4.558 Ba
-0.545 5.377 2.670 Ba


GeTe3Pb PBE optimized geometry; E = -2.798 eV per atom; density of states at the Fermi level = 4.520 states/eV/cell; size of the total moment = 0.000 μB per cell; ρ = 5.59 g/cm3; energy above the most stable polymorph in this dataset = 0.873 eV/atom; uncorrected formation energy = 0.752 eV per atom
1.0
-5.423 1.326 1.635
0.909 -2.599 5.124
1.899 5.032 2.216
Te Pb Ge
3 1 1
Cartesian
-2.711 0.663 0.817 Te
0.949 2.516 1.108 Te
0.455 -1.300 2.562 Te
0.000 0.000 0.000 Pb
-1.307 1.880 4.487 Ge


Ti3CoAs PBE optimized geometry; E = -7.089 eV per atom; density of states at the Fermi level = 3.236 states/eV/cell; size of the total moment = 0.000 μB per cell; ρ = 5.22 g/cm3; energy above the most stable polymorph in this dataset = 0.000 eV/atom
1.0
-0.190 3.092 3.196
-4.447 -0.178 -0.092
0.063 -3.197 3.097
As Ti Co
1 3 1
Cartesian
-2.287 -0.141 3.100 As
-2.223 -0.089 -0.046 Ti
-0.095 1.546 1.598 Ti
0.032 -1.599 1.548 Ti
0.000 0.000 0.000 Co


Pm4PrDy2 PBE optimized geometry; E = -4.654 eV per atom; density of states at the Fermi level = 20.677 states/eV/cell; size of the total moment = 0.000 μB per cell; ρ = 7.30 g/cm3; energy above the most stable polymorph in this dataset = 0.000 eV/atom
1.0
12.116 -3.102 -1.558
-9.485 8.152 -1.558
0.021 0.040 6.838
Pm Dy Pr
8 4 2
Cartesian
1.378 -0.156 0.407 Pm
1.923 2.727 2.488 Pm
-5.248 5.912 4.643 Pm
-0.907 1.060 3.826 Pm
7.842 -0.934 1.224 Pm
6.993 -0.712 4.576 Pm
-4.602 5.303 1.157 Pm
1.123 3.119 -0.931 Pm
-2.206 4.164 5.031 Dy
-7.469 7.233 2.181 Dy
4.666 0.558 1.612 Dy
10.198 -1.997 -1.238 Dy
4.153 1.386 -1.720 Pr
-1.234 4.218 1.699 Pr


Ti4InPb PBE optimized geometry; E = -6.431 eV per atom; density of states at the Fermi level = 4.245 states/eV/cell; size of the total moment = 0.000 μB per cell; ρ = 7.51 g/cm3; energy above the most stable polymorph in this dataset = 0.000 eV/atom
1.0
3.071 0.000 0.888
1.724 5.089 -0.208
-0.460 -1.519 7.342
Ti Pb In
4 1 1
Cartesian
3.033 1.203 6.770 Ti
1.302 2.366 1.252 Ti
1.755 -0.960 5.436 Ti
2.579 4.530 2.587 Ti
0.000 0.000 0.000 Pb
2.167 1.785 4.011 In


PmCo6P4 PBE optimized geometry; E = -7.008 eV per atom; density of states at the Fermi level = 9.137 states/eV/cell; size of the total moment = 0.001 μB per cell; ρ = 7.79 g/cm3
1.0
3.565 0.000 0.000
0.000 5.679 -3.279
0.000 0.000 6.557
Co P Pm
6 4 1
Cartesian
0.000 3.033 -1.303 Co
1.782 1.157 2.004 Co
1.782 3.365 3.279 Co
0.000 5.291 0.000 Co
1.782 1.157 4.553 Co
0.000 3.033 1.303 Co
0.000 1.893 3.279 P
1.782 4.579 -1.374 P
1.782 2.199 0.000 P
1.782 4.579 1.374 P
0.000 0.000 0.000 Pm


Na5Tl4Cd2 PBE optimized geometry; E = -1.699 eV per atom; density of states at the Fermi level = 9.257 states/eV/cell; size of the total moment = 0.000 μB per cell; ρ = 6.06 g/cm3; energy above the most stable polymorph in this dataset = 0.000 eV/atom
1.0
4.766 0.000 0.000
0.000 7.885 0.000
0.000 0.000 16.890
Tl Cd Na
8 4 10
Cartesian
2.383 1.683 7.573 Tl
2.383 3.071 10.682 Tl
2.383 5.625 0.872 Tl
2.383 7.013 14.652 Tl
2.383 4.814 6.208 Tl
2.383 2.259 16.017 Tl
2.383 0.871 2.237 Tl
2.383 6.202 9.317 Tl
2.383 3.814 3.370 Cd
2.383 7.757 5.075 Cd
2.383 4.070 13.520 Cd
2.383 0.128 11.815 Cd
0.000 6.237 3.372 Na
0.000 2.294 5.073 Na
0.000 3.116 1.401 Na
0.000 7.059 7.044 Na
0.000 3.942 8.445 Na
0.000 0.000 0.000 Na
0.000 0.826 9.846 Na
0.000 1.648 13.518 Na
0.000 4.768 15.489 Na
0.000 5.590 11.817 Na


ThZr4Ge4 PBE optimized geometry; E = -7.167 eV per atom; density of states at the Fermi level = 14.103 states/eV/cell; size of the total moment = 0.000 μB per cell; ρ = 6.85 g/cm3
1.0
5.401 0.000 0.000
0.000 8.927 0.000
0.000 0.000 8.927
Ge Zr Th
8 8 2
Cartesian
4.841 6.206 1.331 Ge
0.561 7.596 6.206 Ge
2.140 5.794 7.185 Ge
3.261 7.185 3.133 Ge
3.261 1.742 5.794 Ge
4.841 2.721 7.596 Ge
0.561 1.331 2.721 Ge
2.140 3.133 1.742 Ge
2.088 5.745 1.037 Zr
0.613 7.646 3.426 Zr
2.088 3.182 7.890 Zr
4.788 5.501 7.646 Zr
3.314 1.037 3.182 Zr
3.314 7.890 5.745 Zr
4.788 3.426 1.282 Zr
0.613 1.282 5.501 Zr
2.701 4.464 4.464 Th
0.000 0.000 0.000 Th


PdWS2Cl PBE optimized geometry; E = -5.358 eV per atom; density of states at the Fermi level = 5.764 states/eV/cell; size of the total moment = 0.000 μB per cell; ρ = 6.22 g/cm3; energy above the most stable polymorph in this dataset = 0.000 eV/atom; uncorrected formation energy = 0.292 eV per atom
1.0
-4.176 -1.763 -1.096
-0.200 -2.111 4.154
-2.121 3.866 1.863
S Pd Cl W
2 1 1 1
Cartesian
-2.088 -0.881 -0.548 S
-0.100 -1.055 2.077 S
-3.248 -0.004 2.460 Pd
-1.060 1.933 0.931 Cl
0.000 0.000 0.000 W


ThNi2P2Os PBE optimized geometry; E = -6.814 eV per atom; density of states at the Fermi level = 4.507 states/eV/cell; size of the total moment = 0.000 μB per cell; ρ = 9.10 g/cm3
1.0
-4.127 -1.371 -1.338
0.378 -3.698 2.622
-2.190 2.644 4.045
Ni Th P Os
2 1 2 1
Cartesian
-2.416 -1.880 1.643 Ni
-3.522 -0.545 3.687 Ni
-1.095 1.322 2.023 Th
-2.063 -0.685 -0.669 P
0.189 -1.849 1.311 P
0.000 0.000 0.000 Os


NiMoOs2 PBE optimized geometry; E = -9.149 eV per atom; density of states at the Fermi level = 8.475 states/eV/cell; size of the total moment = 0.000 μB per cell; ρ = 14.33 g/cm3; energy above the most stable polymorph in this dataset = 0.582 eV/atom
1.0
-2.373 1.609 -2.454
-2.831 -0.423 2.460
-0.816 8.410 3.402
Ni Mo Os
2 2 4
Cartesian
-2.602 0.593 0.003 Ni
-3.124 4.290 2.932 Ni
0.000 0.000 0.000 Mo
-2.895 5.306 0.475 Mo
-2.695 6.733 2.668 Os
-1.930 2.981 -0.262 Os
-2.380 2.114 1.967 Os
-5.033 7.366 2.442 Os


GdZrGaRh PBE optimized geometry; E = -8.775 eV per atom; density of states at the Fermi level = 2.749 states/eV/cell; size of the total moment = 7.270 μB per cell; ρ = 8.58 g/cm3
1.0
-3.883 -0.823 -2.814
0.367 -2.954 -3.849
-2.169 -4.355 0.060
Ga Rh Gd Zr
1 1 1 1
Cartesian
-1.421 -2.033 -1.651 Ga
-4.264 -6.099 -4.953 Rh
-2.843 -4.066 -3.302 Gd
0.000 0.000 0.000 Zr


Ba3B2N4 PBE optimized geometry; E = -6.679 eV per atom; density of states at the Fermi level = 0.000 states/eV/cell; size of the total moment = 0.000 μB per cell; ρ = 4.96 g/cm3; uncorrected formation energy = -0.854 eV per atom
1.0
-6.274 2.951 -3.862
1.389 -3.772 -5.156
-3.271 -5.562 1.047
Ba B N
6 4 8
Cartesian
-2.286 0.197 -2.731 Ba
-1.757 -7.680 -4.608 Ba
-5.980 -2.582 -4.507 Ba
-6.399 1.297 -3.363 Ba
-5.870 -6.580 -5.240 Ba
-2.176 -3.801 -3.464 Ba
-2.513 -5.189 -6.139 B
-8.159 -4.678 -4.729 B
0.004 -1.705 -3.242 B
-5.643 -1.194 -1.832 B
-3.455 -3.963 -6.166 N
-5.626 -0.095 -6.680 N
-1.220 -5.278 -5.545 N
-7.187 -4.891 -3.708 N
-6.936 -1.105 -2.426 N
-0.969 -1.492 -4.263 N
-4.701 -2.420 -1.805 N
-2.530 -6.288 -1.291 N


PrDyMgCd PBE optimized geometry; E = -3.174 eV per atom; density of states at the Fermi level = 4.667 states/eV/cell; size of the total moment = 0.001 μB per cell; ρ = 6.51 g/cm3; energy above the most stable polymorph in this dataset = 0.002 eV/atom
1.0
5.414 0.000 0.000
2.707 4.689 0.000
2.707 1.563 4.421
Pr Mg Dy Cd
1 1 1 1
Cartesian
0.000 0.000 0.000 Pr
2.707 1.563 1.105 Mg
5.414 3.126 2.210 Dy
8.121 4.689 3.316 Cd


MnFe PBE optimized geometry; E = -8.766 eV per atom; density of states at the Fermi level = 4.986 states/eV/cell; size of the total moment = 0.000 μB per cell; ρ = 8.81 g/cm3
1.0
-2.123 -1.073 0.672
1.543 -1.169 -1.537
3.633 -3.321 6.172
Mn Fe
2 2
Cartesian
1.836 -3.606 4.585 Mn
1.804 -1.649 3.065 Mn
0.004 -1.932 1.473 Fe
0.004 -0.003 0.006 Fe